No. 1
The following is a DFT calculation (PBE) of a relaxed TbDyCu2 crystal.

```
TbDyCu2
1.0
4.486 0.000 0.000
0.000 3.700 0.000
0.000 0.000 10.315
Tb Dy Cu
2 2 4
direct
0.000 0.000 0.000
0.000 0.500 0.500
0.500 0.000 0.720
0.500 0.500 0.220
0.000 0.000 0.288
0.000 0.500 0.788
0.500 0.000 0.431
0.500 0.500 0.931
```

**Volume**: 21.4 Å³ per atom
**Final energy**: -4.41 eV per atom
**ρ**: 8.7 g/cm3
**ΔH_f (0 K)**: -0.2483 eV per atom
**SG**: Amm2 (38)

=====

No. 2
The following is a DFT calculation (PBE) of a relaxed TbDyTlCu2 crystal.

```
TbDyTlCu2
1.0
3.626 0.000 0.000
0.000 4.266 0.000
0.000 0.000 14.093
Tb Dy Tl Cu
2 2 2 4
direct
0.000 0.000 0.000
0.000 0.500 0.500
0.000 0.000 0.731
0.000 0.500 0.231
0.500 0.000 0.365
0.500 0.500 0.865
0.500 0.000 0.163
0.500 0.000 0.569
0.500 0.500 0.069
0.500 0.500 0.663
```

**Volume**: 21.8 Å³ per atom
**Final energy**: -4.13 eV per atom
**ρ**: 9.9 g/cm3
**SG**: Amm2 (38)

=====

No. 3
The following is a DFT calculation (PBE) of a relaxed Dy7Cu2Te2 crystal.

```
Dy7Cu2Te2
1.0
-1.977 7.799 4.787
1.977 -7.799 4.787
1.977 7.799 -4.787
Dy Cu Te
7 2 2
direct
0.000 0.000 0.000
0.285 0.414 0.871
0.304 0.618 0.686
0.542 0.414 0.129
0.618 0.261 0.357
0.904 0.261 0.643
0.933 0.618 0.314
0.160 0.922 0.238
0.685 0.922 0.762
0.262 0.762 0.500
0.662 0.662 0.000
```

**Volume**: 26.8 Å³ per atom
**Final energy**: -4.75 eV per atom
**ρ**: 8.5 g/cm3
**SG**: Imm2 (44)

=====

No. 4
The following is a DFT calculation (PBE) of a relaxed DyTmCuTe3 crystal.

```
DyTmCuTe3
1.0
2.048 -7.104 0.000
2.048 7.104 0.000
0.000 0.000 11.072
Dy Tm Cu Te
2 2 2 6
direct
0.000 0.000 0.000
0.000 0.000 0.500
0.225 0.775 0.750
0.775 0.225 0.250
0.472 0.528 0.250
0.528 0.472 0.750
0.100 0.900 0.250
0.350 0.650 0.069
0.350 0.650 0.431
0.650 0.350 0.569
0.650 0.350 0.931
0.900 0.100 0.750
```

**Volume**: 26.8 Å³ per atom
**Final energy**: -4.67 eV per atom
**ρ**: 8.0 g/cm3
**SG**: Cmcm (63)

=====

No. 5
The following is a DFT calculation (PBE) of a relaxed Dy2YTm4Cu2Te2 crystal.

```
Dy2YTm4Cu2Te2
1.0
-1.971 7.700 4.746
1.971 -7.700 4.746
1.971 7.700 -4.746
Dy Y Tm Cu Te
2 1 4 2 2
direct
0.145 0.000 0.145
0.855 0.000 0.855
0.239 0.739 0.500
0.174 0.359 0.815
0.523 0.153 0.370
0.544 0.359 0.185
0.783 0.153 0.630
0.406 0.667 0.739
0.928 0.667 0.261
0.504 0.504 0.000
0.899 0.399 0.500
```

**Volume**: 26.2 Å³ per atom
**Final energy**: -4.88 eV per atom
**ρ**: 8.5 g/cm3
**SG**: Imm2 (44)

=====

No. 6
The following is a DFT calculation (PBE) of a relaxed Dy4YTm2Cu2Te2 crystal.

```
Dy4YTm2Cu2Te2
1.0
-1.974 7.743 4.776
1.974 -7.743 4.776
1.974 7.743 -4.776
Dy Y Tm Cu Te
4 1 2 2 2
direct
0.129 0.000 0.129
0.203 0.847 0.355
0.492 0.847 0.645
0.871 0.000 0.871
0.585 0.585 0.000
0.519 0.204 0.315
0.890 0.204 0.685
0.275 0.512 0.763
0.749 0.512 0.237
0.249 0.249 0.000
0.847 0.347 0.500
```

**Volume**: 26.6 Å³ per atom
**Final energy**: -4.91 eV per atom
**ρ**: 8.3 g/cm3
**SG**: Imm2 (44)

=====

No. 7
The following is a DFT calculation (PBE) of a relaxed Dy4Y3Cu2Te2 crystal.

```
Dy4Y3Cu2Te2
1.0
-1.981 7.795 4.791
1.981 -7.795 4.791
1.981 7.795 -4.791
Dy Y Cu Te
4 3 2 2
direct
0.129 0.000 0.129
0.519 0.205 0.314
0.871 0.000 0.871
0.891 0.205 0.686
0.204 0.847 0.357
0.489 0.847 0.643
0.588 0.588 0.000
0.272 0.510 0.762
0.748 0.510 0.238
0.248 0.248 0.000
0.849 0.349 0.500
```

**Volume**: 26.9 Å³ per atom
**Final energy**: -5.27 eV per atom
**ρ**: 7.3 g/cm3
**SG**: Imm2 (44)

=====

No. 8
The following is a DFT calculation (PBE) of a relaxed Dy2Y5Cu2Te2 crystal.

```
Dy2Y5Cu2Te2
1.0
-1.986 7.813 4.803
1.986 -7.813 4.803
1.986 7.813 -4.803
Dy Y Cu Te
2 5 2 2
direct
0.186 0.000 0.186
0.814 0.000 0.814
0.168 0.795 0.373
0.422 0.795 0.627
0.500 0.642 0.858
0.785 0.642 0.142
0.882 0.382 0.500
0.043 0.306 0.737
0.568 0.306 0.263
0.143 0.143 0.000
0.544 0.044 0.500
```

**Volume**: 27.1 Å³ per atom
**Final energy**: -5.62 eV per atom
**ρ**: 6.4 g/cm3
**SG**: Imm2 (44)